An optimized crystal structure of TeRu2Rh, computed with GGA-PBE.

Output
Formation energy from raw total energies: 0.2884 eV/atom
Total magnetic moment: 0.0 Bohr magnetons per cell
DOS(E_F): 6.51 states/eV per cell
ρ: 11.25 g cm⁻³

abc: 8.956 2.979 4.920
angles: 90.00 103.30 90.00
Space group C2/m (No. 12)
Inequivalent atoms, fractional coordinates:
Te 0.000 0.000 0.000 [2 per cell]
Ru 0.247 0.500 0.273 [4 per cell]
Rh 0.000 0.500 0.500 [2 per cell]


An optimized crystal structure of Te6RuRh, computed with GGA-PBE.

Output
Formation energy from raw total energies: -0.1397 eV/atom
Total magnetic moment: 0.0 Bohr magnetons per cell
DOS(E_F): 24.36 states/eV per cell
ρ: 7.23 g cm⁻³
Offset from the most stable computed form: 0.0760 eV per atom

abc: 13.556 9.633 9.605
angles: 90.00 134.75 90.00
Space group C2/m (No. 12)
Inequivalent atoms, fractional coordinates:
Te 0.002 0.175 0.154 [8 per cell]
Te 0.151 0.500 0.830 [4 per cell]
Te 0.154 0.500 0.484 [4 per cell]
Te 0.174 0.153 0.672 [8 per cell]
Ru 0.250 0.250 0.500 [4 per cell]
Rh 0.250 0.250 0.000 [4 per cell]


An optimized crystal structure of Te2RuRh, computed with GGA-PBE.

Output
Formation energy from raw total energies: 0.1584 eV/atom
Total magnetic moment: 0.0 Bohr magnetons per cell
DOS(E_F): 10.05 states/eV per cell
ρ: 9.90 g cm⁻³
Offset from the most stable computed form: 0.2394 eV per atom

abc: 8.076 3.367 5.830
angles: 90.00 103.72 90.00
Space group C2/m (No. 12)
Inequivalent atoms, fractional coordinates:
Te 0.247 0.000 0.246 [4 per cell]
Ru 0.000 0.500 0.000 [2 per cell]
Rh 0.000 0.000 0.500 [2 per cell]


An optimized crystal structure of TeRu2Rh, computed with GGA-PBE.

Output
Formation energy from raw total energies: 0.3102 eV/atom
Total magnetic moment: 0.0 Bohr magnetons per cell
DOS(E_F): 8.19 states/eV per cell
ρ: 11.44 g cm⁻³

abc: 5.745 7.276 3.006
angles: 90.00 90.00 90.00
Space group Cmmm (No. 65)
Inequivalent atoms, fractional coordinates:
Te 0.000 0.000 0.000 [2 per cell]
Ru 0.250 0.250 0.500 [4 per cell]
Rh 0.000 0.500 0.000 [2 per cell]


An optimized crystal structure of TeRuRh, computed with GGA-PBE.

Output
Formation energy from raw total energies: 0.4016 eV/atom
Total magnetic moment: 0.0 Bohr magnetons per cell
DOS(E_F): 3.75 states/eV per cell
ρ: 10.64 g cm⁻³
Offset from the most stable computed form: 0.4010 eV per atom

abc: 3.1289 3.1289 6.1030
angles: 90.00 90.00 120.00
Space group P3m1 (No. 156)
Inequivalent atoms, fractional coordinates:
Te 0.0000 0.0000 0.0000 [1 per cell]
Ru 0.6667 0.3333 0.6794 [1 per cell]
Rh 0.3333 0.6667 0.3329 [1 per cell]


An optimized crystal structure of Te2RuRh, computed with GGA-PBE.

Output
Formation energy from raw total energies: 0.7445 eV/atom
Total magnetic moment: 2.6 Bohr magnetons per cell
DOS(E_F): 23.47 states/eV per cell
ρ: 9.78 g cm⁻³
Offset from the most stable computed form: 0.8255 eV per atom

abc: 6.780 6.780 6.780
angles: 90.00 90.00 90.00
Space group F-43m (No. 216)
Inequivalent atoms, fractional coordinates:
Te 0.000 0.000 0.000 [4 per cell]
Te 0.250 0.250 0.250 [4 per cell]
Ru 0.000 0.000 0.500 [4 per cell]
Rh 0.250 0.250 0.750 [4 per cell]


An optimized crystal structure of TeRu2Rh, computed with GGA-PBE.

Output
Formation energy from raw total energies: 0.2307 eV/atom
Total magnetic moment: 0.0 Bohr magnetons per cell
DOS(E_F): 7.69 states/eV per cell
ρ: 11.56 g cm⁻³

abc: 4.006 4.029 7.701
angles: 90.00 90.00 90.00
Space group Imm2 (No. 44)
Inequivalent atoms, fractional coordinates:
Te 0.000 0.000 0.000 [2 per cell]
Ru 0.000 0.000 0.500 [2 per cell]
Ru 0.000 0.500 0.251 [2 per cell]
Rh 0.000 0.500 0.749 [2 per cell]


An optimized crystal structure of TeRuRh2, computed with GGA-PBE.

Output
Formation energy from raw total energies: 0.2134 eV/atom
Total magnetic moment: 0.0 Bohr magnetons per cell
DOS(E_F): 26.42 states/eV per cell
ρ: 11.34 g cm⁻³

abc: 6.338 6.338 6.338
angles: 90.00 90.00 90.00
Space group F-43m (No. 216)
Inequivalent atoms, fractional coordinates:
Te 0.000 0.000 0.000 [4 per cell]
Ru 0.250 0.250 0.250 [4 per cell]
Rh 0.000 0.000 0.500 [4 per cell]
Rh 0.250 0.250 0.750 [4 per cell]


An optimized crystal structure of Th6Te3Ru2Rh, computed with GGA-PBE.

Output
Formation energy from raw total energies: -0.9479 eV/atom
Total magnetic moment: 0.0 Bohr magnetons per cell
DOS(E_F): 11.63 states/eV per cell
ρ: 9.90 g cm⁻³

abc: 19.604 4.170 9.087
angles: 90.00 110.00 90.00
Space group C2/m (No. 12)
Inequivalent atoms, fractional coordinates:
Th 0.012 0.000 0.225 [4 per cell]
Th 0.158 0.500 0.115 [4 per cell]
Th 0.178 0.500 0.555 [4 per cell]
Te 0.000 0.500 0.500 [2 per cell]
Te 0.166 0.000 0.833 [4 per cell]
Ru 0.166 0.000 0.332 [4 per cell]
Rh 0.000 0.500 0.000 [2 per cell]


An optimized crystal structure of Th8Te4RuRh3, computed with GGA-PBE.

Output
Formation energy from raw total energies: -1.0098 eV/atom
Total magnetic moment: 0.0 Bohr magnetons per cell
DOS(E_F): 27.77 states/eV per cell
ρ: 9.88 g cm⁻³

abc: 8.3593 8.3593 23.1230
angles: 90.00 90.00 120.00
Space group R-3m (No. 166, hexagonal axes)
Inequivalent atoms, fractional coordinates:
Th 0.0000 0.0000 0.2340 [6 per cell]
Th 0.0039 0.5019 0.2341 [18 per cell]
Te 0.0000 0.0000 0.0000 [3 per cell]
Te 0.0000 0.5000 0.0000 [9 per cell]
Ru 0.0000 0.0000 0.5000 [3 per cell]
Rh 0.0000 0.5000 0.5000 [9 per cell]


An optimized crystal structure of Th4Te2RuRh, computed with GGA-PBE.

Output
Formation energy from raw total energies: -0.9729 eV/atom
Total magnetic moment: 0.0 Bohr magnetons per cell
DOS(E_F): 4.87 states/eV per cell
ρ: 9.89 g cm⁻³

abc: 7.230 4.179 8.081
angles: 90.00 107.39 90.00
Space group P2/m (No. 10)
Inequivalent atoms, fractional coordinates:
Th 0.230 0.000 0.201 [2 per cell]
Th 0.262 0.500 0.799 [2 per cell]
Te 0.000 0.000 0.500 [1 per cell]
Te 0.500 0.500 0.500 [1 per cell]
Ru 0.000 0.500 0.000 [1 per cell]
Rh 0.500 0.000 0.000 [1 per cell]


An optimized crystal structure of Th8Te4Ru3Rh, computed with GGA-PBE.

Output
Formation energy from raw total energies: -0.9358 eV/atom
Total magnetic moment: 0.0 Bohr magnetons per cell
DOS(E_F): 22.75 states/eV per cell
ρ: 9.90 g cm⁻³

abc: 8.3437 8.3437 23.1351
angles: 90.00 90.00 120.00
Space group R-3m (No. 166, hexagonal axes)
Inequivalent atoms, fractional coordinates:
Th 0.0000 0.0000 0.2333 [6 per cell]
Th 0.0039 0.5020 0.7667 [18 per cell]
Te 0.0000 0.0000 0.0000 [3 per cell]
Te 0.0000 0.5000 0.0000 [9 per cell]
Ru 0.0000 0.5000 0.5000 [9 per cell]
Rh 0.0000 0.0000 0.5000 [3 per cell]